Here is a relaxed Li2HCl crystal from Alexandria. Energies are from GGA-PBE.

E	-0.120	Ha/atom

Cell lengths 5.9431, 3.4729, 6.0329 Å; angles 90.00, 109.84, 90.00 degrees
Sites, in units of the cell vectors:
Li1 0.1389 0.5000 0.5913
Li2 0.1389 0.0000 0.0913
Li3 0.5903 0.5000 0.4102
Li4 0.5903 0.0000 0.9102
Cl1 0.8061 0.0000 0.3149
Cl2 0.8061 0.5000 0.8149
H1 0.2688 0.5000 0.3014
H2 0.2688 0.0000 0.8014

Here is a relaxed Li2HCl crystal from Alexandria. Energies are from GGA-PBE.

E	-0.121	Ha/atom

Cell lengths 3.6710, 3.6710, 4.5157 Å; angles 90.00, 90.00, 90.00 degrees
Sites, in units of the cell vectors:
Cl1 0.5000 0.5000 0.0000
Li1 0.5000 0.0000 0.6795
Li2 0.0000 0.5000 0.3205
H1 0.0000 0.0000 0.5000

Here is a relaxed LiH3Cl crystal from Alexandria. Energies are from GGA-PBE.

E	-0.071	Ha/atom

Cell lengths 3.9091, 3.9091, 3.9091 Å; angles 90.00, 90.00, 90.00 degrees
Sites, in units of the cell vectors:
H1 0.0000 0.5000 0.0000
H2 0.5000 0.0000 0.0000
H3 0.0000 0.0000 0.5000
Cl1 0.5000 0.5000 0.5000
Li1 0.0000 0.0000 0.0000

Here is a relaxed Li2HCl crystal from Alexandria. Energies are from GGA-PBE.

E	-0.120	Ha/atom

Cell lengths 3.3720, 3.3720, 5.7096 Å; angles 72.82, 72.82, 60.00 degrees
Sites, in units of the cell vectors:
Cl1 0.5000 0.5000 0.5000
Li1 0.7392 0.7392 0.7825
Li2 0.2608 0.2608 0.2175
H1 0.0000 0.0000 0.0000

Here is a relaxed Li2HCl4 crystal from Alexandria. Energies are from GGA-PBE.

E	-0.115	Ha/atom

Cell lengths 8.3358, 5.1299, 8.3264 Å; angles 90.00, 107.40, 90.00 degrees
Sites, in units of the cell vectors:
H1 0.8640 0.2500 0.8569
H2 0.1360 0.7500 0.1431
Li1 0.1607 0.2500 0.5011
Li2 0.7657 0.7500 0.1388
Li3 0.2343 0.2500 0.8612
Li4 0.8393 0.7500 0.4989
Cl1 0.6177 0.4981 0.2945
Cl2 0.6177 0.0019 0.2945
Cl3 0.9574 0.2500 0.6599
Cl4 0.0426 0.7500 0.3401
Cl5 0.8133 0.2500 0.9952
Cl6 0.3823 0.5019 0.7055
Cl7 0.1867 0.7500 0.0048
Cl8 0.3823 0.9981 0.7055

Here is a relaxed Li2HCl crystal from Alexandria. Energies are from GGA-PBE.

E	-0.112	Ha/atom

Cell lengths 4.1996, 4.1996, 4.1996 Å; angles 60.00, 60.00, 60.00 degrees
Sites, in units of the cell vectors:
Li1 0.7500 0.7500 0.7500
Li2 0.2500 0.2500 0.2500
Cl1 0.5000 0.5000 0.5000
H1 0.0000 0.0000 0.0000

Here is a relaxed LiHCl3 crystal from Alexandria. Energies are from GGA-PBE.

E	-0.075	Ha/atom

Cell lengths 4.8583, 4.8583, 4.8583 Å; angles 90.00, 90.00, 90.00 degrees
Sites, in units of the cell vectors:
Cl1 0.0000 0.0000 0.5000
Cl2 0.5000 0.0000 0.0000
Cl3 0.0000 0.5000 0.0000
H1 0.5000 0.5000 0.5000
Li1 0.0000 0.0000 0.0000

Here is a relaxed LiH3Cl crystal from Alexandria. Energies are from GGA-PBE.

E	-0.074	Ha/atom

Cell lengths 3.9344, 3.9344, 3.9344 Å; angles 90.00, 90.00, 90.00 degrees
Sites, in units of the cell vectors:
H1 0.0000 0.0000 0.5000
H2 0.0000 0.5000 0.0000
H3 0.5000 0.0000 0.0000
Cl1 0.0000 0.0000 0.0000
Li1 0.5000 0.5000 0.5000

Here is a relaxed Li2HCl crystal from Alexandria. Energies are from GGA-PBE.

E	-0.121	Ha/atom

Cell lengths 3.6444, 3.6444, 5.5816 Å; angles 90.00, 90.00, 120.00 degrees
Sites, in units of the cell vectors:
H1 0.3333 0.6667 0.6481
Li1 0.6667 0.3333 0.5702
Li2 0.3333 0.6667 0.9787
Cl1 0.6667 0.3333 0.1406

Here is a relaxed Li2HCl crystal from Alexandria. Energies are from GGA-PBE.

E	-0.122	Ha/atom

Cell lengths 4.9685, 4.9685, 6.0305 Å; angles 65.67, 65.67, 90.00 degrees
Sites, in units of the cell vectors:
Cl1 0.0000 0.0000 0.0000
Cl2 0.7500 0.2500 0.5000
Li1 0.3750 0.4479 0.7500
Li2 0.8750 0.8021 0.7500
Li3 0.1979 0.6250 0.2500
Li4 0.5521 0.1250 0.2500
H1 0.5000 0.5000 0.0000
H2 0.2500 0.7500 0.5000

Here is a relaxed LiH2Cl2 crystal from Alexandria. Energies are from GGA-PBE.

E	-0.122	Ha/atom

Cell lengths 3.8659, 6.5737, 9.1195 Å; angles 77.18, 77.76, 72.90 degrees
Sites, in units of the cell vectors:
Cl1 0.0773 0.7031 0.1424
Cl2 0.2554 0.8392 0.6499
Cl3 0.7446 0.1608 0.3501
Cl4 0.9227 0.2969 0.8576
Li1 0.3366 0.9478 0.3790
Li2 0.6634 0.0522 0.6210
H1 0.8443 0.5028 0.8086
H2 0.1557 0.4972 0.1914
H3 0.0337 0.4573 0.4753
H4 0.9663 0.5427 0.5247

Here is a relaxed Li3HCl2 crystal from Alexandria. Energies are from GGA-PBE.

E	-0.125	Ha/atom

Cell lengths 3.7188, 3.7188, 8.9927 Å; angles 90.00, 90.00, 120.00 degrees
Sites, in units of the cell vectors:
Li1 0.3333 0.6667 0.8804
Li2 0.0000 0.0000 0.2487
Li3 0.6667 0.3333 0.6141
Cl1 0.6667 0.3333 0.3508
Cl2 0.0000 0.0000 0.9835
H1 0.3333 0.6667 0.6725

Here is a relaxed Li2HCl crystal from Alexandria. Energies are from GGA-PBE.

E	-0.119	Ha/atom

Cell lengths 3.3359, 3.3359, 5.9519 Å; angles 73.73, 73.73, 60.00 degrees
Sites, in units of the cell vectors:
Li1 0.0721 0.0721 0.7836
Li2 0.2597 0.2597 0.2209
H1 0.6709 0.6709 0.9874
Cl1 0.4973 0.4973 0.5081

Here is a relaxed LiHCl3 crystal from Alexandria. Energies are from GGA-PBE.

E	-0.104	Ha/atom

Cell lengths 4.1800, 7.7738, 8.5715 Å; angles 90.00, 90.00, 119.04 degrees
Sites, in units of the cell vectors:
Li1 0.5656 0.9166 0.7500
Li2 0.4344 0.0834 0.2500
Cl1 0.0377 0.6735 0.9304
Cl2 0.8092 0.9402 0.2500
Cl3 0.9623 0.3265 0.0696
Cl4 0.9623 0.3265 0.4304
Cl5 0.1908 0.0598 0.7500
Cl6 0.0377 0.6735 0.5696
H1 0.9932 0.6379 0.7500
H2 0.0068 0.3621 0.2500

Here is a relaxed LiH2Cl2 crystal from Alexandria. Energies are from GGA-PBE.

E	-0.112	Ha/atom

Cell lengths 4.3294, 3.6870, 7.9683 Å; angles 81.36, 74.24, 54.05 degrees
Sites, in units of the cell vectors:
Cl1 0.3119 0.2273 0.1489
Cl2 0.6881 0.7727 0.8511
H1 0.5283 0.4096 0.5338
H2 0.4717 0.5904 0.4662
Li1 0.0000 0.0000 0.0000

Here is a relaxed Li4HCl2 crystal from Alexandria. Energies are from GGA-PBE.

E	-0.113	Ha/atom

Cell lengths 3.6615, 3.6615, 9.2628 Å; angles 78.60, 78.60, 90.00 degrees
Sites, in units of the cell vectors:
Cl1 0.6005 0.6005 0.7989
Cl2 0.3995 0.3995 0.2011
Li1 0.0000 0.5000 0.0000
Li2 0.8307 0.8307 0.3386
Li3 0.1693 0.1693 0.6614
Li4 0.5000 0.0000 0.0000
H1 0.0000 0.0000 0.0000

Here is a relaxed Li3HCl3 crystal from Alexandria. Energies are from GGA-PBE.

E	-0.121	Ha/atom

Cell lengths 7.3900, 7.3893, 6.7573 Å; angles 56.84, 56.84, 59.99 degrees
Sites, in units of the cell vectors:
Li1 0.4216 0.0788 0.7542
Li2 0.9211 0.2545 0.2459
Li3 0.2543 0.5785 0.2458
Li4 0.0789 0.7455 0.7541
Li5 0.5784 0.9212 0.2458
Li6 0.7457 0.4215 0.7542
H1 0.3272 0.3270 0.0185
H2 0.6728 0.6730 0.9815
Cl1 0.0884 0.4103 0.7460
Cl2 0.2447 0.9116 0.2540
Cl3 0.4103 0.7552 0.7461
Cl4 0.9116 0.5897 0.2540
Cl5 0.5897 0.2448 0.2539
Cl6 0.7553 0.0884 0.7460

Here is a relaxed Li2HCl crystal from Alexandria. Energies are from GGA-PBE.

E	-0.120	Ha/atom

Cell lengths 3.4151, 3.3897, 5.2089 Å; angles 90.00, 90.21, 90.00 degrees
Sites, in units of the cell vectors:
H1 0.7092 0.5000 0.4077
Li1 0.7071 0.5000 0.7536
Li2 0.7126 0.0000 0.2662
Cl1 0.2086 0.0000 0.9128

Here is a relaxed Li2HCl crystal from Alexandria. Energies are from GGA-PBE.

E	-0.120	Ha/atom

Cell lengths 3.5917, 3.5917, 17.3374 Å; angles 90.00, 90.00, 120.00 degrees
Sites, in units of the cell vectors:
Li1 0.6667 0.3333 0.3973
Li2 0.6667 0.3333 0.8700
Li3 0.0000 0.0000 0.5367
Li4 0.3333 0.6667 0.2033
Li5 0.3333 0.6667 0.7306
Li6 0.0000 0.0000 0.0639
H1 0.3333 0.6667 0.0956
H2 0.6667 0.3333 0.7623
H3 0.0000 0.0000 0.4290
Cl1 0.3333 0.6667 0.5942
Cl2 0.6667 0.3333 0.2609
Cl3 0.0000 0.0000 0.9275

Here is a relaxed LiMgH2Cl crystal from Alexandria. Energies are from GGA-PBE.

E	-0.113	Ha/atom

Cell lengths 3.6846, 5.3801, 3.6846 Å; angles 90.00, 90.00, 90.00 degrees
Sites, in units of the cell vectors:
Cl1 0.0000 0.5000 0.0000
Li1 0.5000 0.5000 0.5000
Mg1 0.0000 0.0000 0.0000
H1 0.0000 0.0000 0.5000
H2 0.5000 0.0000 0.0000

Here is a relaxed LiMgH14Cl3O7 crystal from Alexandria. Energies are from GGA-PBE.

E	-0.174	Ha/atom

Cell lengths 6.6541, 6.6650, 6.8359 Å; angles 87.32, 88.11, 87.62 degrees
Sites, in units of the cell vectors:
O1 0.8738 0.2528 0.0496
O2 0.2419 0.0501 0.8793
O3 0.7305 0.7294 0.7090
O4 0.2713 0.4287 0.0639
O5 0.4298 0.0609 0.2672
O6 0.0635 0.2665 0.4256
O7 0.0465 0.8739 0.2442
H1 0.2367 0.5016 0.9404
H2 0.8775 0.7050 0.7023
H3 0.9180 0.8101 0.2255
H4 0.3572 0.1109 0.8086
H5 0.4994 0.9313 0.2396
H6 0.2235 0.9215 0.8186
H7 0.1101 0.3862 0.4870
H8 0.9358 0.2334 0.4939
H9 0.1073 0.8023 0.3580
H10 0.4893 0.1074 0.3860
H11 0.3910 0.4909 0.1121
H12 0.7083 0.8766 0.7007
H13 0.8096 0.2320 0.9252
H14 0.7996 0.3670 0.1091
Mg1 0.1525 0.1543 0.1536
Cl1 0.6390 0.2069 0.6502
Cl2 0.2067 0.6471 0.6433
Cl3 0.6434 0.6316 0.2325
Li1 0.5569 0.5588 0.5737

Here is a relaxed Li2MnHCl crystal from Alexandria. Energies are from GGA-PBE.

E	-0.132	Ha/atom

Cell lengths 5.1760, 3.3527, 5.1760 Å; angles 90.00, 90.00, 90.00 degrees
Sites, in units of the cell vectors:
Li1 0.5000 0.0000 0.0000
Li2 0.0000 0.0000 0.5000
Mn1 0.0000 0.0000 0.0000
H1 0.0000 0.5000 0.0000
Cl1 0.5000 0.5000 0.5000

Here is a relaxed LiH2ClO crystal from Alexandria. Energies are from GGA-PBE.

E	-0.151	Ha/atom

Cell lengths 3.3509, 5.0479, 6.7227 Å; angles 90.00, 90.00, 109.38 degrees
Sites, in units of the cell vectors:
H1 0.0938 0.1877 0.9413
H2 0.9062 0.8123 0.0587
H3 0.0938 0.1877 0.5587
H4 0.9062 0.8123 0.4413
O1 0.0000 0.0000 0.0000
O2 0.0000 0.0000 0.5000
Cl1 0.2818 0.5637 0.2500
Cl2 0.7182 0.4363 0.7500
Li1 0.5744 0.1488 0.2500
Li2 0.4256 0.8512 0.7500

Here is a relaxed Li2H2Cl2O crystal from Alexandria. Energies are from GGA-PBE.

E	-0.149	Ha/atom

Cell lengths 4.0112, 5.4630, 8.7547 Å; angles 53.10, 132.18, 109.51 degrees
Sites, in units of the cell vectors:
Cl1 0.8930 0.6738 0.6973
Cl2 0.1070 0.3262 0.3027
Li1 0.4503 0.0948 0.2680
Li2 0.5497 0.9052 0.7320
O1 0.0000 0.0000 0.0000
H1 0.9418 0.2286 0.8825
H2 0.0582 0.7714 0.1175